(1)
Entry from Alexandria via LeMat-Bulk: a relaxed structure of Li2Cu4Ni (GGA-PBE).

Lattice parameters (Å, degrees): 4.081 8.196 10.983 90.00 90.00 90.00
Fractional coordinates of all 28 atoms:
Li: 0.250 0.277 0.096
Li: 0.750 0.223 0.596
Li: 0.250 0.777 0.404
Li: 0.750 0.723 0.904
Li: 0.750 0.552 0.408
Li: 0.250 0.448 0.592
Li: 0.750 0.052 0.092
Li: 0.250 0.948 0.908
Cu: 0.250 0.829 0.134
Cu: 0.750 0.171 0.866
Cu: 0.250 0.329 0.366
Cu: 0.750 0.671 0.634
Cu: 0.250 0.126 0.726
Cu: 0.750 0.874 0.274
Cu: 0.250 0.626 0.774
Cu: 0.750 0.374 0.226
Cu: 0.250 0.588 0.004
Cu: 0.750 0.412 0.996
Cu: 0.250 0.088 0.496
Cu: 0.750 0.912 0.504
Cu: 0.750 0.942 0.732
Cu: 0.250 0.058 0.268
Cu: 0.250 0.558 0.232
Cu: 0.750 0.442 0.768
Ni: 0.750 0.152 0.368
Ni: 0.250 0.848 0.632
Ni: 0.750 0.652 0.132
Ni: 0.250 0.348 0.868

Its total energy is -3.71 eV/atom. The value obtained for the energy relative to the elements is 0.0005 eV/atom. The value obtained for the magnetic moment is 0.00 Bohr magnetons per cell. As for the symmetry: Pnma (62). For the density, the calculation gives 5.907 g cm⁻³. For the energy above the most stable polymorph in this dataset, the calculation gives 0.0 kJ/mol of formula units.

=====

(2)
Entry from Alexandria via LeMat-Bulk: a relaxed structure of La2TaRe2 (GGA-PBE).

Lattice parameters (Å, degrees): 6.807 6.807 5.110 90.00 90.00 90.00
Fractional coordinates of all 10 atoms:
Re: 0.373 0.873 0.000
Re: 0.873 0.627 0.000
Re: 0.627 0.127 0.000
Re: 0.127 0.373 0.000
La: 0.178 0.678 0.500
La: 0.678 0.822 0.500
La: 0.822 0.322 0.500
La: 0.322 0.178 0.500
Ta: 0.000 0.000 0.000
Ta: 0.500 0.500 0.000

Its total energy is -9.01 eV/atom. The value obtained for the energy relative to the elements is 0.3107 eV/atom. The value obtained for the magnetic moment is 0.00 Bohr magnetons per cell. As for the symmetry: P4/mbm (127). For the density, the calculation gives 11.658 g cm⁻³. For the energy above the most stable polymorph in this dataset, the calculation gives 0.0 kJ/mol of formula units.

=====

(3)
Entry from Alexandria via LeMat-Bulk: a relaxed structure of Dy3TlRu (GGA-PBE).

Lattice parameters (Å, degrees): 5.859 5.859 8.789 102.10 102.09 111.80
Fractional coordinates of all 10 atoms:
Dy: 0.300 0.800 0.101
Dy: 0.700 0.200 0.899
Dy: 0.075 0.197 0.272
Dy: 0.925 0.803 0.728
Dy: 0.697 0.575 0.272
Dy: 0.303 0.425 0.728
Tl: 0.717 0.217 0.500
Tl: 0.283 0.783 0.500
Ru: 0.250 0.250 0.000
Ru: 0.750 0.750 0.000

Its total energy is -5.45 eV/atom. The value obtained for the energy relative to the elements is -0.3569 eV/atom. The value obtained for the magnetic moment is 0.00 Bohr magnetons per cell. As for the symmetry: Fmmm (69). For the density, the calculation gives 10.135 g cm⁻³. For the energy above the most stable polymorph in this dataset, the calculation gives 0.0 kJ/mol of formula units.

=====

(4)
Entry from Alexandria via LeMat-Bulk: a relaxed structure of KSrMo (GGA-PBE).

Lattice parameters (Å, degrees): 5.841 5.841 3.649 90.00 90.00 120.00
Fractional coordinates of all 3 atoms:
K: 0.000 0.000 0.020
Mo: 0.667 0.333 0.306
Sr: 0.333 0.667 0.674

Its total energy is -3.14 eV/atom. The value obtained for the energy relative to the elements is 1.3963 eV/atom. The value obtained for the magnetic moment is 3.78 Bohr magnetons per cell. As for the symmetry: P3m1 (156). For the density, the calculation gives 3.429 g cm⁻³. For the energy above the most stable polymorph in this dataset, the calculation gives 42.6 kJ/mol of formula units.

=====

(5)
Entry from Alexandria via LeMat-Bulk: a relaxed structure of CaBi3P3O13 (GGA-PBE).

Lattice parameters (Å, degrees): 7.114 7.384 11.580 82.21 90.00 90.00
Fractional coordinates of all 40 atoms:
Ca: 0.750 0.366 0.180
Ca: 0.250 0.634 0.820
Bi: 0.250 0.717 0.258
Bi: 0.750 0.283 0.742
Bi: 0.250 0.241 0.438
Bi: 0.500 0.000 0.000
Bi: 0.750 0.759 0.562
Bi: 0.000 0.000 0.000
P: 0.250 0.736 0.535
P: 0.750 0.264 0.465
P: 0.250 0.228 0.752
P: 0.750 0.772 0.248
P: 0.750 0.657 0.887
P: 0.250 0.343 0.113
O: 0.750 0.572 0.767
O: 0.575 0.267 0.384
O: 0.250 0.158 0.632
O: 0.567 0.776 0.877
O: 0.750 0.435 0.532
O: 0.750 0.161 0.920
O: 0.250 0.565 0.468
O: 0.067 0.224 0.123
O: 0.250 0.909 0.440
O: 0.750 0.091 0.560
O: 0.076 0.347 0.770
O: 0.250 0.839 0.080
O: 0.576 0.653 0.230
O: 0.750 0.517 0.995
O: 0.750 0.842 0.368
O: 0.433 0.224 0.123
O: 0.925 0.267 0.384
O: 0.425 0.733 0.616
O: 0.424 0.347 0.770
O: 0.250 0.428 0.233
O: 0.750 0.945 0.150
O: 0.250 0.055 0.850
O: 0.924 0.653 0.230
O: 0.933 0.776 0.877
O: 0.075 0.733 0.616
O: 0.250 0.483 0.005

Its total energy is -6.75 eV/atom. The value obtained for the magnetic moment is 0.00 Bohr magnetons per cell. As for the symmetry: P2_1/m (11). For the density, the calculation gives 5.334 g cm⁻³. For the formation energy without anion corrections, the calculation gives -196.0 kJ per mole of atoms.

=====

(6)
Entry from Alexandria via LeMat-Bulk: a relaxed structure of AlSi2Os (GGA-PBE).

Lattice parameters (Å, degrees): 4.420 4.420 4.420 125.84 125.84 80.15
Fractional coordinates of all 4 atoms:
Si: 0.000 0.000 0.000
Si: 0.500 0.500 0.000
Os: 0.750 0.250 0.500
Al: 0.250 0.750 0.500

Its total energy is -6.41 eV/atom. The value obtained for the magnetic moment is 0.00 Bohr magnetons per cell. As for the symmetry: I4/mmm (139). For the density, the calculation gives 8.286 g cm⁻³. For the formation energy without anion corrections, the calculation gives 4.5 kJ per mole of atoms.

=====

(7)
Entry from Alexandria via LeMat-Bulk: a relaxed structure of RbBi6Pd6 (GGA-PBE).

Lattice parameters (Å, degrees): 6.017 7.674 7.674 77.42 66.92 66.92
Fractional coordinates of all 13 atoms:
Rb: 0.000 0.000 0.000
Bi: 0.340 0.660 0.660
Bi: 0.660 0.340 0.340
Bi: 0.000 0.340 0.660
Bi: 0.000 0.660 0.340
Bi: 0.326 0.174 0.174
Bi: 0.674 0.826 0.826
Pd: 0.000 0.500 0.000
Pd: 0.500 0.500 0.000
Pd: 0.000 0.000 0.500
Pd: 0.500 0.000 0.500
Pd: 0.500 0.752 0.248
Pd: 0.500 0.248 0.752

Its total energy is -4.49 eV/atom. The value obtained for the energy relative to the elements is -0.2279 eV/atom. The value obtained for the magnetic moment is 0.00 Bohr magnetons per cell. As for the symmetry: Immm (71). For the density, the calculation gives 10.983 g cm⁻³.

=====

(8)
Entry from Alexandria via LeMat-Bulk: a relaxed structure of RbGaC (GGA-PBE).

Lattice parameters (Å, degrees): 5.905 5.905 7.104 90.00 90.00 120.00
Fractional coordinates of all 6 atoms:
C: 0.000 0.000 0.000
C: 0.000 0.000 0.500
Ga: 0.000 0.000 0.250
Ga: 0.000 0.000 0.750
Rb: 0.333 0.667 0.250
Rb: 0.667 0.333 0.750

Its total energy is -3.61 eV/atom. The value obtained for the energy relative to the elements is 0.7912 eV/atom. The value obtained for the magnetic moment is 0.00 Bohr magnetons per cell. As for the symmetry: P6_3/mmc (194). For the density, the calculation gives 2.588 g cm⁻³.

=====

(9)
Entry from Alexandria via LeMat-Bulk: a relaxed structure of Cu2MoSe (GGA-PBE).

Lattice parameters (Å, degrees): 5.158 5.158 5.158 138.95 138.95 59.44
Fractional coordinates of all 4 atoms:
Cu: 0.000 0.000 0.000
Cu: 0.500 0.500 0.000
Mo: 0.250 0.750 0.500
Se: 0.750 0.250 0.500

Its total energy is -5.18 eV/atom. The value obtained for the magnetic moment is 0.00 Bohr magnetons per cell. As for the symmetry: I4/mmm (139). For the density, the calculation gives 8.559 g cm⁻³. For the formation energy without anion corrections, the calculation gives 42.7 kJ per mole of atoms.

=====

(10)
Entry from Alexandria via LeMat-Bulk: a relaxed structure of NiHSe2 (GGA-PBE).

Lattice parameters (Å, degrees): 3.922 6.332 6.705 117.45 81.16 99.42
Fractional coordinates of all 8 atoms:
Ni: 0.171 0.886 0.588
Ni: 0.885 0.300 0.515
H: 0.744 0.752 0.947
H: 0.311 0.433 0.155
Se: 0.970 0.508 0.288
Se: 0.372 0.072 0.360
Se: 0.085 0.678 0.816
Se: 0.683 0.114 0.744

Its total energy is -4.13 eV/atom. The value obtained for the magnetic moment is 0.00 Bohr magnetons per cell. As for the symmetry: P-1 (2). For the density, the calculation gives 4.978 g cm⁻³. For the energy above the most stable polymorph in this dataset, the calculation gives 10.3 kJ/mol of formula units.

=====

(11)
Entry from Alexandria via LeMat-Bulk: a relaxed structure of Tl2PdAuBr6 (GGA-PBE).

Lattice parameters (Å, degrees): 7.286 7.456 11.143 90.00 89.08 90.00
Fractional coordinates of all 20 atoms:
Tl: 0.013 0.945 0.251
Tl: 0.513 0.555 0.751
Tl: 0.987 0.055 0.749
Tl: 0.487 0.445 0.249
Pd: 0.500 0.000 0.500
Pd: 0.000 0.500 0.000
Au: 0.500 0.000 0.000
Au: 0.000 0.500 0.500
Br: 0.289 0.709 0.023
Br: 0.789 0.791 0.523
Br: 0.711 0.291 0.977
Br: 0.211 0.209 0.477
Br: 0.289 0.705 0.480
Br: 0.789 0.795 0.980
Br: 0.711 0.295 0.520
Br: 0.211 0.205 0.020
Br: 0.958 0.497 0.225
Br: 0.458 0.003 0.725
Br: 0.042 0.503 0.775
Br: 0.542 0.997 0.275

Its total energy is -2.79 eV/atom. The value obtained for the magnetic moment is 0.00 Bohr magnetons per cell. As for the symmetry: P2_1/c (14). For the density, the calculation gives 6.538 g cm⁻³. For the formation energy without anion corrections, the calculation gives -44.9 kJ per mole of atoms.

=====

(12)
Entry from Alexandria via LeMat-Bulk: a relaxed structure of RbW3Se (GGA-PBE).

Lattice parameters (Å, degrees): 4.806 4.806 4.806 90.00 90.00 90.00
Fractional coordinates of all 5 atoms:
Se: 0.000 0.000 0.000
Rb: 0.500 0.500 0.500
W: 0.000 0.500 0.000
W: 0.000 0.000 0.500
W: 0.500 0.000 0.000

Its total energy is -6.52 eV/atom. The value obtained for the magnetic moment is 0.00 Bohr magnetons per cell. As for the symmetry: Pm-3m (221). For the density, the calculation gives 10.711 g cm⁻³. For the formation energy without anion corrections, the calculation gives 206.8 kJ per mole of atoms. For the energy above the most stable polymorph in this dataset, the calculation gives 0.0 kJ/mol of formula units.